Record 1
# Zr4AlSi

A geometry-optimized Zr4AlSi structure (PBE, the Alexandria database).

a = 9.2504 Å, b = 3.4318 Å, c = 7.8142 Å
α = 90.00°, β = 90.00°, γ = 90.00°
Positions (direct):
1 Zr 0.0000 0.0000 0.0000
2 Zr 0.0440 0.5000 0.3247
3 Zr 0.2500 0.5000 0.9155
4 Zr 0.4560 0.5000 0.3247
5 Zr 0.5000 0.0000 0.0000
6 Zr 0.5440 0.5000 0.6753
7 Zr 0.7500 0.5000 0.0845
8 Zr 0.9560 0.5000 0.6753
9 Al 0.2500 0.0000 0.5666
10 Al 0.7500 0.0000 0.4334
11 Si 0.2500 0.0000 0.2023
12 Si 0.7500 0.0000 0.7977

Computed properties:
- magnetization (Bohr magnetons per cell) = 0.000
- crystal system = orthorhombic
- relative energy among the computed polymorphs (eV per formula unit) = 1.56
- energy (eV per atom) = -7.514
- raw formation energy (meV per atom) = -288

---

Record 2
# Zr3Al2Si3

A geometry-optimized Zr3Al2Si3 structure (PBE, the Alexandria database).

a = 8.5513 Å, b = 8.5513 Å, c = 5.3556 Å
α = 90.00°, β = 90.00°, γ = 51.90°
Positions (direct):
1 Zr 0.1666 0.4948 0.2500
2 Zr 0.1974 0.8026 0.7500
3 Zr 0.4948 0.1666 0.7500
4 Zr 0.5052 0.8334 0.2500
5 Zr 0.8026 0.1974 0.2500
6 Zr 0.8334 0.5052 0.7500
7 Al 0.1529 0.1529 0.0000
8 Al 0.1529 0.1529 0.5000
9 Al 0.8471 0.8471 0.0000
10 Al 0.8471 0.8471 0.5000
11 Si 0.1357 0.5292 0.7500
12 Si 0.1772 0.8228 0.2500
13 Si 0.4708 0.8643 0.7500
14 Si 0.5292 0.1357 0.2500
15 Si 0.8228 0.1772 0.7500
16 Si 0.8643 0.4708 0.2500

Computed properties:
- magnetization (Bohr magnetons per cell) = 0.000
- crystal system = orthorhombic
- relative energy among the computed polymorphs (eV per formula unit) = 1.77
- energy (eV per atom) = -6.546
- raw formation energy (meV per atom) = -371

---

Record 3
# Zr2AlSi2

A geometry-optimized Zr2AlSi2 structure (PBE, the Alexandria database).

a = 5.1324 Å, b = 5.1324 Å, c = 7.7361 Å
α = 90.00°, β = 90.00°, γ = 90.00°
Positions (direct):
1 Zr 0.2500 0.2500 0.1071
2 Zr 0.2500 0.7500 0.5000
3 Zr 0.7500 0.2500 0.5000
4 Zr 0.7500 0.7500 0.8929
5 Al 0.2500 0.2500 0.7553
6 Al 0.7500 0.7500 0.2447
7 Si 0.2500 0.2500 0.4425
8 Si 0.2500 0.7500 0.0000
9 Si 0.7500 0.2500 0.0000
10 Si 0.7500 0.7500 0.5575

Computed properties:
- magnetization (Bohr magnetons per cell) = 0.000
- crystal system = tetragonal
- energy (eV per atom) = -6.469
- raw formation energy (meV per atom) = -132

---

Record 4
# Zr3Al3Si2

A geometry-optimized Zr3Al3Si2 structure (PBE, the Alexandria database).

a = 8.1060 Å, b = 8.1060 Å, c = 5.2486 Å
α = 90.00°, β = 90.00°, γ = 120.00°
Positions (direct):
1 Zr 0.0000 0.4074 0.2500
2 Zr 0.0000 0.5926 0.7500
3 Zr 0.4074 0.0000 0.2500
4 Zr 0.4074 0.4074 0.7500
5 Zr 0.5926 0.0000 0.7500
6 Zr 0.5926 0.5926 0.2500
7 Al 0.0000 0.1988 0.7500
8 Al 0.0000 0.8012 0.2500
9 Al 0.1988 0.0000 0.7500
10 Al 0.1988 0.1988 0.2500
11 Al 0.8012 0.0000 0.2500
12 Al 0.8012 0.8012 0.7500
13 Si 0.3333 0.6667 0.0000
14 Si 0.3333 0.6667 0.5000
15 Si 0.6667 0.3333 0.0000
16 Si 0.6667 0.3333 0.5000

Computed properties:
- magnetization (Bohr magnetons per cell) = 0.000
- crystal system = hexagonal
- relative energy among the computed polymorphs (eV per formula unit) = 2.06
- energy (eV per atom) = -6.347
- raw formation energy (meV per atom) = -383

---

Question: What is the raw formation energy in the first record?
Answer: -288 meV per atom

---

Question: Which value of energy does entry 2 give?
Answer: -6.546 eV per atom